First-principles (GGA-PBE) data for a relaxed structure of TbMnSi3Ni, as listed in Alexandria.

a = 5.5390 Å, b = 5.9775 Å, c = 6.9460 Å
α = 115.49°, β = 90.00°, γ = 90.00°
Last column: nearest neighbours and their distance in Å.
Fractional positions:
Si 0.0000 0.2978 0.0000  2 Mn 2.32, 2 Ni 2.34, 1 Si 2.42
Tb 0.7500 0.2826 0.5651  4 Si 2.90-2.99, 2 Ni 3.05
Si 0.5000 0.7022 0.0000  2 Mn 2.32, 2 Ni 2.34, 1 Si 2.42
Si 0.5000 0.2978 0.0000  2 Mn 2.32, 2 Ni 2.34, 1 Si 2.42
Si 0.0000 0.7022 0.0000  2 Mn 2.32, 2 Ni 2.34, 1 Si 2.42
Mn 0.7500 0.9583 0.9167  5 Si 2.16-2.32
Si 0.7500 0.7861 0.5722  1 Ni 2.15, 1 Mn 2.16
Mn 0.2500 0.0417 0.0833  5 Si 2.16-2.32
Tb 0.2500 0.7174 0.4349  4 Si 2.90-2.99, 2 Ni 3.05
Ni 0.2500 0.3851 0.7701  5 Si 2.15-2.34
Si 0.2500 0.2139 0.4278  1 Ni 2.15, 1 Mn 2.16
Ni 0.7500 0.6149 0.2299  5 Si 2.15-2.34

Results
VASP energy (eV per atom): -6.29
Uncorrected formation energy (eV per atom): -0.32
Theoretical density (g/cm³): 5.7

First-principles (GGA-PBE) data for a relaxed structure of Tl3SbAu3, as listed in Alexandria.

a = 7.0566 Å, b = 7.0566 Å, c = 7.5066 Å
α = 89.58°, β = 89.58°, γ = 88.03°
Last column: nearest neighbours and their distance in Å.
Fractional positions:
Au 0.9795 0.4902 0.7476  1 Sb 2.72, 1 Au 2.84
Tl 0.1934 0.8066 0.5000  6 Au 3.07-3.29, 2 Tl 3.43
Sb 0.8328 0.8328 0.8550  4 Au 2.72-2.80
Au 0.4902 0.9795 0.7476  1 Sb 2.72, 1 Au 2.84
Tl 0.3407 0.3407 0.5432  5 Au 3.00-3.34, 1 Tl 3.29
Tl 0.8066 0.1934 0.5000  6 Au 3.07-3.29, 2 Tl 3.43
Tl 0.3096 0.6904 0.0000  4 Au 3.08-3.37
Tl 0.6593 0.6593 0.4568  5 Au 3.00-3.34, 1 Tl 3.29
Au 0.0205 0.5098 0.2524  1 Sb 2.72, 1 Au 2.84
Au 0.5098 0.0205 0.2524  1 Sb 2.72, 1 Au 2.84
Sb 0.1672 0.1672 0.1450  4 Au 2.72-2.80
Au 0.8950 0.8950 0.2122  2 Sb 2.76-2.80, 2 Au 2.84, 3 Tl 3.00-3.07
Tl 0.6904 0.3096 0.0000  4 Au 3.08-3.37
Au 0.1050 0.1050 0.7878  2 Sb 2.76-2.80, 2 Au 2.84, 3 Tl 3.00-3.07

Results
VASP energy (eV per atom): -3.05
Uncorrected formation energy (eV per atom): -0.04
Theoretical density (g/cm³): 11.8